(1)
The following is a GGA-PBE calculation of crystalline Nd2UTl2S6 at its relaxed geometry, from the Alexandria database.

Results
Formation energy without anion corrections ... -1.42 eV/atom
Total energy ... -6.00 eV per atom
Crystal system ... monoclinic

a b c (Å): 7.1376 7.1376 7.9028
angles (deg): 98.84 98.84 119.95
With the nearest neighbours (Å) after each atom.
Sites, in units of the cell vectors:
1 Nd 0.1665 0.8335 0.0000  6 S 2.83-2.87
2 Nd 0.8335 0.1665 0.0000  6 S 2.83-2.87
3 U 0.5000 0.5000 0.0000  6 S 2.70-2.72
4 Tl 0.3310 0.6690 0.5000  6 S 3.25-3.34
5 Tl 0.6690 0.3310 0.5000  6 S 3.25-3.34
6 S 0.1153 0.4361 0.8036  1 U 2.72, 2 Nd 2.83-2.86
7 S 0.2529 0.2529 0.1986  1 U 2.70, 2 Nd 2.87
8 S 0.4361 0.1153 0.8036  1 U 2.72, 2 Nd 2.83-2.86
9 S 0.5639 0.8847 0.1964  1 U 2.72, 2 Nd 2.83-2.86
10 S 0.7471 0.7471 0.8014  1 U 2.70, 2 Nd 2.87
11 S 0.8847 0.5639 0.1964  1 U 2.72, 2 Nd 2.83-2.86

***

(2)
The following is a GGA-PBE calculation of crystalline PrBeAs at its relaxed geometry, from the Alexandria database.

Results
Total energy ... -4.19 eV per atom
Energy relative to the elements ... 0.20 eV/atom
Energy above the lowest structure with this stoichiometry ... 1.057 eV per atom
Crystal system ... hexagonal

a b c (Å): 6.2089 6.2089 12.1350
angles (deg): 90.00 90.00 120.00
With the nearest neighbours (Å) after each atom.
Sites, in units of the cell vectors:
1 Pr 0.0000 0.5000 0.3914  4 Be 2.67-2.89
2 Pr 0.0000 0.5000 0.9419  4 Be 2.67-2.89
3 Pr 0.5000 0.0000 0.2753  4 Be 2.67-2.89
4 Pr 0.5000 0.0000 0.7247  4 Be 2.67-2.89
5 Pr 0.5000 0.5000 0.0581  4 Be 2.67-2.89
6 Pr 0.5000 0.5000 0.6086  4 Be 2.67-2.89
7 Be 0.1795 0.5897 0.1667  1 Be 1.93
8 Be 0.4103 0.5897 0.8333  1 Be 1.93
9 Be 0.4103 0.8205 0.5000  1 Be 1.93
10 Be 0.5897 0.1795 0.5000  1 Be 1.93
11 Be 0.5897 0.4103 0.8333  1 Be 1.93
12 Be 0.8205 0.4103 0.1667  1 Be 1.93
13 As 0.0000 0.0000 0.1667  4 Be 3.25, 4 Pr 3.37
14 As 0.0000 0.0000 0.5000  4 Be 3.25, 4 Pr 3.37
15 As 0.0000 0.0000 0.8333  4 Be 3.25, 4 Pr 3.37
16 As 0.0000 0.5000 0.6667  4 Be 3.08, 6 Pr 3.18-3.34
17 As 0.5000 0.0000 0.0000  4 Be 3.08, 6 Pr 3.18-3.34
18 As 0.5000 0.5000 0.3333  4 Be 3.08, 6 Pr 3.18-3.34

***

(3)
The following is a GGA-PBE calculation of crystalline CsNpGa2S6 at its relaxed geometry, from the Alexandria database.

Results
Formation energy without anion corrections ... -0.83 eV/atom
Total energy ... -5.29 eV per atom
Crystal system ... monoclinic

a b c (Å): 9.0938 9.0938 7.4451
angles (deg): 102.11 102.11 91.67
With the nearest neighbours (Å) after each atom.
Sites, in units of the cell vectors:
1 Cs 0.0794 0.9206 0.7500  6 S 3.37-3.51
2 Cs 0.9206 0.0794 0.2500  6 S 3.37-3.51
3 Np 0.2985 0.7015 0.2500  6 S 2.50-2.80
4 Np 0.7015 0.2985 0.7500  6 S 2.50-2.80
5 Ga 0.2166 0.3761 0.8870  4 S 2.26-2.38
6 Ga 0.3761 0.2166 0.3870  4 S 2.26-2.38
7 Ga 0.6239 0.7834 0.6130  4 S 2.26-2.38
8 Ga 0.7834 0.6239 0.1130  4 S 2.26-2.38
9 S 0.0161 0.7192 0.2809  1 Ga 2.26
10 S 0.2443 0.6268 0.8979  1 Ga 2.27, 1 Np 2.50
11 S 0.2569 0.3896 0.2146  2 Ga 2.37-2.38
12 S 0.2808 0.9839 0.2191  1 Ga 2.26
13 S 0.3732 0.7557 0.6021  1 Ga 2.27, 1 Np 2.50
14 S 0.3896 0.2569 0.7146  2 Ga 2.37-2.38
15 S 0.6104 0.7431 0.2854  2 Ga 2.37-2.38
16 S 0.6268 0.2443 0.3979  1 Ga 2.27, 1 Np 2.50
17 S 0.7192 0.0161 0.7809  1 Ga 2.26
18 S 0.7431 0.6104 0.7854  2 Ga 2.37-2.38
19 S 0.7557 0.3732 0.1021  1 Ga 2.27, 1 Np 2.50
20 S 0.9839 0.2808 0.7191  1 Ga 2.26

***

(4)
The following is a GGA-PBE calculation of crystalline La2HoPt at its relaxed geometry, from the Alexandria database.

Results
Total energy ... -5.61 eV per atom
Energy relative to the elements ... -0.49 eV/atom
Energy above the lowest structure with this stoichiometry ... 0.162 eV per atom
Crystal system ... tetragonal

a b c (Å): 3.7803 3.7803 8.2193
angles (deg): 90.00 90.00 90.00
With the nearest neighbours (Å) after each atom.
Sites, in units of the cell vectors:
1 La 0.0000 0.0000 0.2049  4 Pt 3.16, 1 La 3.37
2 La 0.0000 0.0000 0.7951  4 Pt 3.16, 1 La 3.37
3 Ho 0.5000 0.5000 0.5000  8 La 3.61, 4 Ho 3.78
4 Pt 0.5000 0.5000 0.0000  8 La 3.16